Here is TlSiSe2 at its PBEsol-relaxed geometry from Alexandria via LeMat-Bulk. Energies are from SCAN.

The structure in extended XYZ format:
```
4
Lattice="-3.708 -1.194 0.434 1.032 -3.612 -1.119 2.463 0.968 6.013" Properties=species:S:1:pos:R:3 pbc="T T T"
Se 0.000 0.000 0.000
Se -1.292 -1.315 3.052
Tl 1.079 -2.524 2.276
Si -1.338 -2.403 -0.343
```

Results
Uncorrected energy: -30.273 eV per atom
Space group: No. 119
Volume: 22.88 Å³ per atom
Raw formation energy: 0.36 eV/atom
Total moment: 0.00 μB/f.u.



Here is YMnBe2 at its PBEsol-relaxed geometry from Alexandria via LeMat-Bulk. Energies are from SCAN.

The structure in extended XYZ format:
```
8
Lattice="-0.837 -1.972 3.422 -3.363 -1.479 -1.674 6.072 -4.406 -3.436" Properties=species:S:1:pos:R:3 pbc="T T T"
Mn 1.567 -4.052 0.430
Mn -2.100 -1.726 0.874
Be 3.188 -4.105 -2.777
Be 2.770 -5.091 -1.066
Be -0.266 -2.889 0.652
Be -1.948 -3.628 -0.185
Y 0.304 -3.805 -2.118
Y 0.000 0.000 0.000
```

Results
Uncorrected energy: -13.345 eV per atom
Space group: No. 141
Energy relative to the lowest polymorph listed for this composition: 1.34 eV per formula unit
Volume: 15.78 Å³ per atom
Total moment: 2.20 μB/f.u.



Here is HfInN2F at its PBEsol-relaxed geometry from Alexandria via LeMat-Bulk. Energies are from SCAN.

The structure in extended XYZ format:
```
5
Lattice="3.892 0.000 0.000 0.000 4.163 0.000 0.000 0.000 4.163" Properties=species:S:1:pos:R:3 pbc="T T T"
Hf 1.946 2.082 2.082
In 0.000 0.000 0.000
F 1.946 0.000 0.000
N 0.000 2.082 0.000
N 0.000 0.000 2.082
```

Results
Uncorrected energy: -23.592 eV per atom
Space group: No. 123
Volume: 13.49 Å³ per atom
Raw formation energy: 0.04 eV/atom
Total moment: 0.00 μB/f.u.



Here is MgTl2Cd at its PBEsol-relaxed geometry from Alexandria via LeMat-Bulk. Energies are from SCAN.

The structure in extended XYZ format:
```
4
Lattice="-1.476 2.427 -1.856 -3.602 -1.595 0.778 -0.572 4.182 5.923" Properties=species:S:1:pos:R:3 pbc="T T T"
Tl -0.561 4.101 5.808
Tl -2.690 1.520 1.024
Mg -2.959 3.485 3.808
Cd -0.298 2.181 3.089
```

Results
Uncorrected energy: -45.028 eV per atom
Space group: No. 25
Energy relative to the lowest polymorph listed for this composition: 0.11 eV per formula unit
Volume: 24.77 Å³ per atom
Total moment: 0.00 μB/f.u.



Here is Al4C5 at its PBEsol-relaxed geometry from Alexandria via LeMat-Bulk. Energies are from SCAN.

The structure in extended XYZ format:
```
9
Lattice="-2.393 -0.724 0.332 0.093 -1.947 6.010 -2.666 5.352 2.039" Properties=species:S:1:pos:R:3 pbc="T T T"
Al -2.532 2.472 6.305
Al -2.433 0.209 2.076
Al -2.042 3.703 2.937
Al -0.531 -0.297 5.112
C -0.638 -1.048 2.695
C -1.661 -1.623 3.646
C -1.832 2.111 0.977
C 0.000 0.000 0.000
C -3.226 2.517 1.394
```

Results
Uncorrected energy: -8.240 eV per atom
Space group: No. 139
Volume: 10.74 Å³ per atom
Total moment: 0.00 μB/f.u.



Here is LiLu2Au at its PBEsol-relaxed geometry from Alexandria via LeMat-Bulk. Energies are from SCAN.

The structure in extended XYZ format:
```
4
Lattice="4.910 0.000 0.000 2.455 4.252 0.000 2.455 1.417 4.009" Properties=species:S:1:pos:R:3 pbc="T T T"
Lu 2.455 1.417 1.002
Lu 7.365 4.252 3.007
Li 4.910 2.835 2.004
Au 0.000 0.000 0.000
```

Results
Uncorrected energy: -46.175 eV per atom
Space group: No. 225
Volume: 20.92 Å³ per atom
Total moment: 0.00 μB/f.u.



Here is TcPbAu at its PBEsol-relaxed geometry from Alexandria via LeMat-Bulk. Energies are from SCAN.

The structure in extended XYZ format:
```
3
Lattice="3.104 0.000 0.000 0.000 3.104 0.000 -1.552 -1.552 5.936" Properties=species:S:1:pos:R:3 pbc="T T T"
Au 1.552 1.552 5.744
Pb 1.552 1.552 2.071
Tc 0.000 0.000 4.058
```

Results
Uncorrected energy: -59.390 eV per atom
Space group: No. 107
Volume: 19.06 Å³ per atom
Total moment: 2.27 μB/f.u.



Here is NbAlBN2 at its PBEsol-relaxed geometry from Alexandria via LeMat-Bulk. Energies are from SCAN.

The structure in extended XYZ format:
```
5
Lattice="3.538 0.000 0.000 0.000 3.538 0.000 0.000 0.000 4.193" Properties=species:S:1:pos:R:3 pbc="T T T"
Al 0.000 0.000 2.096
Nb 1.769 1.769 2.096
B 0.000 0.000 0.000
N 0.000 1.769 0.000
N 1.769 0.000 0.000
```

Results
Uncorrected energy: -11.980 eV per atom
Space group: No. 123
Volume: 10.50 Å³ per atom
Raw formation energy: 1.40 eV/atom
Total moment: 0.00 μB/f.u.



Here is IrRuRh2 at its PBEsol-relaxed geometry from Alexandria via LeMat-Bulk. Energies are from SCAN.

The structure in extended XYZ format:
```
4
Lattice="-0.650 -2.591 -0.117 1.081 -1.729 1.729 -6.486 -0.028 6.095" Properties=species:S:1:pos:R:3 pbc="T T T"
Ru -3.028 -2.174 3.853
Rh -4.516 -3.266 5.758
Rh -1.540 -1.081 1.948
Ir 0.000 0.000 0.000
```

Results
Uncorrected energy: -43.359 eV per atom
Space group: No. 166
Energy relative to the lowest polymorph listed for this composition: 0.14 eV per formula unit
Volume: 13.57 Å³ per atom
Total moment: 0.00 μB/f.u.



Here is HgSb2As at its PBEsol-relaxed geometry from Alexandria via LeMat-Bulk. Energies are from SCAN.

The structure in extended XYZ format:
```
4
Lattice="-2.921 -2.064 0.850 2.213 -2.862 0.654 0.575 2.013 6.861" Properties=species:S:1:pos:R:3 pbc="T T T"
Hg -0.067 -1.457 4.183
Sb 0.453 1.587 5.408
Sb 0.122 0.427 1.454
As -0.354 -2.463 0.752
```

Results
Uncorrected energy: -40.470 eV per atom
Space group: No. 123
Energy relative to the lowest polymorph listed for this composition: 0.61 eV per formula unit
Volume: 24.24 Å³ per atom
Raw formation energy: 0.25 eV/atom
Total moment: 0.00 μB/f.u.



Here is Cr3CuBr at its PBEsol-relaxed geometry from Alexandria via LeMat-Bulk. Energies are from SCAN.

The structure in extended XYZ format:
```
5
Lattice="-0.275 -0.303 -4.671 0.297 -4.671 0.285 -4.671 -0.279 0.293" Properties=species:S:1:pos:R:3 pbc="T T T"
Br -2.324 -2.627 -2.047
Cr 0.149 -2.335 0.143
Cr -0.137 -0.151 -2.336
Cr -2.336 -0.140 0.146
Cu 0.000 0.000 0.000
```

Results
Uncorrected energy: -17.108 eV per atom
Space group: No. 221
Energy relative to the lowest polymorph listed for this composition: 0.00 eV per formula unit
Volume: 20.62 Å³ per atom
Raw formation energy: 0.85 eV/atom
Total moment: 13.87 μB/f.u.



Here is SiMoWN2 at its PBEsol-relaxed geometry from Alexandria via LeMat-Bulk. Energies are from SCAN.

The structure in extended XYZ format:
```
5
Lattice="-0.562 3.547 -1.176 -3.516 -0.905 -1.048 -1.716 1.272 4.656" Properties=species:S:1:pos:R:3 pbc="T T T"
N -1.758 -0.452 -0.524
N -0.281 1.773 -0.588
Si -0.858 0.636 2.328
W -2.897 1.957 1.216
Mo 0.000 0.000 0.000
```

Results
Uncorrected energy: -25.305 eV per atom
Space group: No. 123
Volume: 14.63 Å³ per atom
Raw formation energy: 1.33 eV/atom
Total moment: 1.58 μB/f.u.



Q: What is the uncorrected energy in the seventh record?
A: -59.390 eV per atom



Q: Number 11 is which compound?
A: Cr3CuBr